No. 1
Density functional theory data (SCAN) for a PBEsol-optimized structure of Cs3GeSe.

a b c (Å): 6.375 6.375 6.375
angles (deg): 90.00 90.00 90.00
Fractional positions:
Cs: 0.000 0.000 0.500
Cs: 0.000 0.500 0.000
Cs: 0.500 0.000 0.000
Ge: 0.000 0.000 0.000
Se: 0.500 0.500 0.500

Properties
* uncorrected energy: -152.65 eV/cell
* DOS at the Fermi energy: 1.77 states/eV per atom
* formation energy without anion corrections: -0.011 eV/atom
* total magnetic moment: 0.5 μB/cell


No. 2
Density functional theory data (SCAN) for a PBEsol-optimized structure of Cs2GeSe4.

a b c (Å): 8.514 8.514 10.049
angles (deg): 117.91 117.91 52.82
Fractional positions:
Cs: 0.093 0.093 0.361
Cs: 0.342 0.342 0.214
Cs: 0.658 0.658 0.786
Cs: 0.907 0.907 0.639
Ge: 0.343 0.343 0.797
Ge: 0.657 0.657 0.203
Se: 0.159 0.667 0.967
Se: 0.184 0.184 0.774
Se: 0.333 0.841 0.033
Se: 0.375 0.375 0.598
Se: 0.625 0.625 0.402
Se: 0.667 0.159 0.967
Se: 0.816 0.816 0.226
Se: 0.841 0.333 0.033

Properties
* uncorrected energy: -362.92 eV/cell
* DOS at the Fermi energy: 0.00 states/eV per atom
* formation energy without anion corrections: -0.920 eV/atom
* total magnetic moment: 0.0 μB/cell


No. 3
Density functional theory data (SCAN) for a PBEsol-optimized structure of Cs2ZnGe3Se8.

a b c (Å): 7.523 12.584 17.528
angles (deg): 90.00 90.00 90.00
Fractional positions:
Cs: 0.243 0.190 0.349
Cs: 0.248 0.122 0.947
Cs: 0.252 0.878 0.447
Cs: 0.257 0.810 0.849
Cs: 0.743 0.310 0.651
Cs: 0.748 0.378 0.053
Cs: 0.752 0.622 0.553
Cs: 0.757 0.690 0.151
Zn: 0.011 0.999 0.651
Zn: 0.489 0.001 0.151
Zn: 0.511 0.501 0.349
Zn: 0.989 0.499 0.849
Ge: 0.006 0.520 0.348
Ge: 0.235 0.554 0.680
Ge: 0.239 0.561 0.018
Ge: 0.261 0.439 0.518
Ge: 0.265 0.446 0.180
Ge: 0.494 0.480 0.848
Ge: 0.506 0.980 0.652
Ge: 0.735 0.946 0.320
Ge: 0.739 0.939 0.982
Ge: 0.761 0.061 0.482
Ge: 0.765 0.054 0.820
Ge: 0.994 0.020 0.152
Se: 0.009 0.896 0.046
Se: 0.010 0.901 0.261
Se: 0.019 0.119 0.762
Se: 0.023 0.117 0.539
Se: 0.234 0.369 0.645
Se: 0.239 0.375 0.844
Se: 0.241 0.375 0.052
Se: 0.244 0.130 0.151
Se: 0.256 0.870 0.651
Se: 0.259 0.625 0.552
Se: 0.261 0.625 0.344
Se: 0.266 0.631 0.145
Se: 0.477 0.883 0.039
Se: 0.481 0.881 0.262
Se: 0.490 0.099 0.761
Se: 0.491 0.104 0.546
Se: 0.509 0.604 0.954
Se: 0.510 0.599 0.739
Se: 0.519 0.381 0.238
Se: 0.523 0.383 0.461
Se: 0.734 0.131 0.355
Se: 0.739 0.125 0.156
Se: 0.741 0.125 0.948
Se: 0.744 0.370 0.849
Se: 0.756 0.630 0.349
Se: 0.759 0.875 0.448
Se: 0.761 0.875 0.656
Se: 0.766 0.869 0.855
Se: 0.977 0.617 0.961
Se: 0.981 0.619 0.738
Se: 0.990 0.401 0.239
Se: 0.991 0.396 0.454

Properties
* uncorrected energy: -1269.28 eV/cell
* formation energy without anion corrections: -0.735 eV/atom
* total magnetic moment: 0.0 μB/cell


No. 4
Density functional theory data (SCAN) for a PBEsol-optimized structure of CsGeTe2.

a b c (Å): 3.426 3.426 36.183
angles (deg): 90.00 90.00 120.00
Fractional positions:
Cs: 0.000 0.000 0.000
Cs: 0.333 0.667 0.667
Cs: 0.667 0.333 0.333
Ge: 0.000 0.000 0.500
Ge: 0.333 0.667 0.167
Ge: 0.667 0.333 0.833
Te: 0.000 0.000 0.419
Te: 0.000 0.000 0.581
Te: 0.333 0.667 0.085
Te: 0.333 0.667 0.248
Te: 0.667 0.333 0.752
Te: 0.667 0.333 0.915

Properties
* uncorrected energy: -392.09 eV/cell
* DOS at the Fermi energy: 0.44 states/eV per atom
* formation energy without anion corrections: 0.176 eV/atom
* total magnetic moment: 0.0 μB/cell


No. 5
Density functional theory data (SCAN) for a PBEsol-optimized structure of Cs2GeTe4.

a b c (Å): 12.373 11.495 7.474
angles (deg): 90.00 90.00 90.00
Fractional positions:
Cs: 0.145 0.059 0.099
Cs: 0.145 0.441 0.099
Cs: 0.355 0.559 0.599
Cs: 0.355 0.941 0.599
Cs: 0.645 0.059 0.401
Cs: 0.645 0.441 0.401
Cs: 0.855 0.559 0.901
Cs: 0.855 0.941 0.901
Ge: 0.062 0.750 0.492
Ge: 0.438 0.250 0.992
Ge: 0.562 0.750 0.008
Ge: 0.938 0.250 0.508
Te: 0.072 0.076 0.591
Te: 0.072 0.424 0.591
Te: 0.122 0.750 0.827
Te: 0.214 0.750 0.243
Te: 0.286 0.250 0.743
Te: 0.378 0.250 0.327
Te: 0.428 0.576 0.091
Te: 0.428 0.924 0.091
Te: 0.572 0.076 0.909
Te: 0.572 0.424 0.909
Te: 0.622 0.750 0.673
Te: 0.714 0.750 0.257
Te: 0.786 0.250 0.757
Te: 0.878 0.250 0.173
Te: 0.928 0.576 0.409
Te: 0.928 0.924 0.409

Properties
* uncorrected energy: -993.94 eV/cell
* formation energy without anion corrections: -0.682 eV/atom
* total magnetic moment: 0.0 μB/cell


No. 6
Density functional theory data (SCAN) for a PBEsol-optimized structure of Cs2TlGe2.

a b c (Å): 5.397 5.397 13.750
angles (deg): 90.00 90.00 90.00
Fractional positions:
Cs: 0.000 0.500 0.250
Cs: 0.000 0.500 0.750
Cs: 0.500 0.000 0.250
Cs: 0.500 0.000 0.750
Tl: 0.000 0.000 0.000
Tl: 0.500 0.500 0.500
Ge: 0.000 0.000 0.419
Ge: 0.000 0.000 0.581
Ge: 0.500 0.500 0.081
Ge: 0.500 0.500 0.919

Properties
* uncorrected energy: -370.64 eV/cell
* DOS at the Fermi energy: 0.57 states/eV per atom
* energy of formation: 80.5 kJ/mol of formula units
* total magnetic moment: 0.0 μB/cell